(w)
# LaH2F6, optimized geometry, DFT PBE-GGA
# **Total moment**: 4.3 μB per cell
# **Crystal system**: monoclinic
data_LaH2F6
_cell_length_a 9.2739
_cell_length_b 8.5648
_cell_length_c 5.8036
_cell_angle_alpha 90.00
_cell_angle_beta 113.35
_cell_angle_gamma 90.00
_symmetry_space_group_name_H-M 'C 1 2/c 1'
_symmetry_Int_Tables_number 15
loop_
_symmetry_equiv_pos_as_xyz
'x,y,z'
'-x,-y,-z'
'-x,y,-z+1/2'
'x,-y,z+1/2'
'x+1/2,y+1/2,z'
'-x+1/2,-y+1/2,-z'
'-x+1/2,y+1/2,-z+1/2'
'x+1/2,-y+1/2,z+1/2'
loop_
_atom_site_label
_atom_site_type_symbol
_atom_site_fract_x
_atom_site_fract_y
_atom_site_fract_z
La1 La 0.0000 0.2007 0.2500
H1 H 0.1600 0.4837 0.0511
F1 F 0.0834 0.0889 0.6870
F2 F 0.1076 0.3685 0.0342
F3 F 0.2100 0.3834 0.5531

---

(x)
# LaH2F6, optimized geometry, DFT PBE-GGA
# **Total moment**: 4.4 μB per cell
# **Crystal system**: monoclinic
data_LaH2F6
_cell_length_a 9.6157
_cell_length_b 8.8181
_cell_length_c 6.6266
_cell_angle_alpha 90.00
_cell_angle_beta 119.66
_cell_angle_gamma 90.00
_symmetry_space_group_name_H-M 'C 1 2/c 1'
_symmetry_Int_Tables_number 15
loop_
_symmetry_equiv_pos_as_xyz
'x,y,z'
'-x,-y,-z'
'-x,y,-z+1/2'
'x,-y,z+1/2'
'x+1/2,y+1/2,z'
'-x+1/2,-y+1/2,-z'
'-x+1/2,y+1/2,-z+1/2'
'x+1/2,-y+1/2,z+1/2'
loop_
_atom_site_label
_atom_site_type_symbol
_atom_site_fract_x
_atom_site_fract_y
_atom_site_fract_z
La1 La 0.0000 0.1441 0.2500
H1 H 0.2294 0.3604 0.1700
F1 F 0.1253 0.0664 0.6726
F2 F 0.1246 0.3088 0.0645
F3 F 0.1944 0.3388 0.5206

---

Here are the energies relative to the best structure, in kJ/mol of atoms: (w) 3.2; (x) 0.0.

---

(w)
# La2HF, optimized geometry, DFT PBE-GGA
# **Total moment**: 0.0 μB per cell
# **Crystal system**: trigonal
data_La2HF
_cell_length_a 3.7887
_cell_length_b 3.7887
_cell_length_c 23.2827
_cell_angle_alpha 90.00
_cell_angle_beta 90.00
_cell_angle_gamma 120.00
_symmetry_space_group_name_H-M 'R -3 m'
_symmetry_Int_Tables_number 166
_symmetry_space_group_name_Hall '-R 3 2"'
loop_
_atom_site_label
_atom_site_type_symbol
_atom_site_fract_x
_atom_site_fract_y
_atom_site_fract_z
La1 La 0.0000 0.0000 0.1003
H1 H 0.0000 0.0000 0.5000
F1 F 0.0000 0.0000 0.0000

---

(x)
# La2HF, optimized geometry, DFT PBE-GGA
# **Total moment**: 0.0 μB per cell
# **Crystal system**: cubic
data_La2HF
_cell_length_a 6.7078
_cell_length_b 6.7078
_cell_length_c 6.7078
_cell_angle_alpha 90.00
_cell_angle_beta 90.00
_cell_angle_gamma 90.00
_symmetry_space_group_name_H-M 'F m -3 m'
_symmetry_Int_Tables_number 225
_symmetry_space_group_name_Hall '-F 4 2 3'
loop_
_atom_site_label
_atom_site_type_symbol
_atom_site_fract_x
_atom_site_fract_y
_atom_site_fract_z
La1 La 0.2500 0.2500 0.2500
H1 H 0.0000 0.0000 0.0000
F1 F 0.0000 0.0000 0.5000

---

Here are the energies relative to the best structure, in kJ/mol of atoms: (w) 0.0; (x) 46.6.